Compound: AcAg2Hg3
Source: Alexandria
Functional: GGA-PBE
Structure: optimized geometry

Geometry as POSCAR:
```
AcAg2Hg3
1.0
3.2773 1.8922 8.3140
-3.2773 1.8922 8.3140
0.0000 -3.7843 8.3140
Ac Ag Hg
2 4 6
direct
0.2067 0.2067 0.2067
0.7933 0.7933 0.7933
0.0000 0.0000 0.0000
0.0000 0.5000 0.5000
0.5000 0.0000 0.5000
0.5000 0.5000 0.0000
0.2483 0.7374 0.7374
0.2626 0.2626 0.7517
0.2626 0.7517 0.2626
0.7374 0.2483 0.7374
0.7374 0.7374 0.2483
0.7517 0.2626 0.2626
```

Calculated values
ΔE to the lowest computed polymorph: 72.9 meV/atom

***

Compound: Ac2AgHg3
Source: Alexandria
Functional: GGA-PBE
Structure: optimized geometry

Geometry as POSCAR:
```
Ac2AgHg3
1.0
0.0000 5.0961 8.8090
3.8386 0.0000 8.8090
3.8386 5.0961 0.0000
Ac Ag Hg
4 2 6
direct
0.2500 0.2500 0.2500
0.2501 0.7499 0.7499
0.7499 0.2501 0.2501
0.7500 0.7500 0.7500
0.1667 0.1667 0.8333
0.8333 0.8333 0.1667
0.1603 0.6700 0.3300
0.3300 0.8397 0.1603
0.3308 0.3308 0.6692
0.6692 0.6692 0.3308
0.6700 0.1603 0.8397
0.8397 0.3300 0.6700
```

Calculated values
ΔE to the lowest computed polymorph: 0.0 meV/atom

***

Compound: AcAg5Hg7
Source: Alexandria
Functional: GGA-PBE
Structure: optimized geometry

Geometry as POSCAR:
```
AcAg5Hg7
1.0
-2.8168 5.1788 5.0697
2.8168 -5.1788 5.0697
2.8168 5.1788 -5.0697
Ac Ag Hg
1 5 7
direct
0.0000 0.0000 0.0000
0.4974 0.4950 0.5031
0.4974 0.9942 0.0024
0.7703 0.2703 0.5000
0.9918 0.4950 0.9976
0.9918 0.9942 0.4969
0.1862 0.4916 0.6946
0.2267 0.7267 0.5000
0.3451 0.0002 0.3449
0.3562 0.3562 0.0000
0.6553 0.0002 0.6551
0.6575 0.6575 0.0000
0.7969 0.4916 0.3054
```

***

| no. | formation energy (eV/f.u.) | final energy (Ry/atom) | N(E_F) (states/eV/f.u.) |
| --- | --- | --- | --- |
| 1 | -0.86 | -0.142 | 3.30 |
| 2 | -2.66 | -0.179 | 3.28 |
| 3 | -1.02 | -0.122 | 5.62 |